(1)
Ac4As2PtS after structural relaxation. Source: the Alexandria database, functional GGA-PBE.

Unit cell a=7.735 b=4.434 c=7.785 alpha=90.00 beta=109.34 gamma=90.00
Atoms (fractional coordinates):
Ac (0.244, 0.000, 0.244)
Ac (0.249, 0.500, 0.749)
Ac (0.751, 0.500, 0.251)
Ac (0.756, 0.000, 0.756)
As (0.500, 0.000, 0.000)
As (0.500, 0.500, 0.500)
Pt (0.000, 0.500, 0.000)
S (0.000, 0.000, 0.500)

The calculation puts the uncorrected formation energy at -1.49 eV per atom.



(2)
Ac3SbAs2Pt9 after structural relaxation. Source: the Alexandria database, functional GGA-PBE.

Unit cell a=6.917 b=6.917 c=8.521 alpha=90.00 beta=90.00 gamma=120.00
Atoms (fractional coordinates):
Ac (0.000, 0.000, 0.000)
Ac (0.333, 0.667, 0.708)
Ac (0.667, 0.333, 0.292)
Sb (0.000, 0.000, 0.500)
As (0.333, 0.667, 0.163)
As (0.667, 0.333, 0.837)
Pt (0.000, 0.500, 0.000)
Pt (0.199, 0.399, 0.391)
Pt (0.199, 0.801, 0.391)
Pt (0.399, 0.199, 0.609)
Pt (0.500, 0.000, 0.000)
Pt (0.500, 0.500, 0.000)
Pt (0.601, 0.801, 0.391)
Pt (0.801, 0.199, 0.609)
Pt (0.801, 0.601, 0.609)

The calculation puts the uncorrected formation energy at -0.65 eV per atom.



(3)
Ac2SbAs3Pt4 after structural relaxation. Source: the Alexandria database, functional GGA-PBE.

Unit cell a=4.621 b=4.621 c=10.217 alpha=90.00 beta=90.00 gamma=90.00
Atoms (fractional coordinates):
Ac (0.000, 0.500, 0.238)
Ac (0.500, 0.000, 0.762)
Sb (0.000, 0.000, 0.500)
As (0.000, 0.500, 0.876)
As (0.500, 0.000, 0.124)
As (0.500, 0.500, 0.500)
Pt (0.000, 0.000, 0.000)
Pt (0.000, 0.500, 0.629)
Pt (0.500, 0.000, 0.371)
Pt (0.500, 0.500, 0.000)

The calculation puts the uncorrected formation energy at -0.90 eV per atom.